# LiSi2Au (GGA-PBE, relaxed)
data_LiSi2Au
_chemical_formula_sum 'Li4 Si8 Au4'
_cell_length_a 6.268
_cell_length_b 6.268
_cell_length_c 6.268
_cell_angle_alpha 90.00
_cell_angle_beta 90.00
_cell_angle_gamma 90.00
_space_group_name_H-M_alt 'F -4 3 m'
_space_group_IT_number 216
_space_group_name_Hall 'F -4 2 3'
loop_
_atom_site_label
_atom_site_fract_x
_atom_site_fract_y
_atom_site_fract_z
Li1 0.000 0.000 0.000
Si1 0.000 0.000 0.500
Si2 0.250 0.250 0.750
Au1 0.250 0.250 0.250
# Offset from the most stable computed form: 129 meV per atom
# Energy relative to the elements, uncorrected: 27 meV per atom
# E: -3.983 eV/atom



# LiTl2Pd3 (GGA-PBE, relaxed)
data_LiTl2Pd3
_chemical_formula_sum 'Li2 Tl4 Pd6'
_cell_length_a 4.124
_cell_length_b 13.011
_cell_length_c 3.935
_cell_angle_alpha 90.00
_cell_angle_beta 90.00
_cell_angle_gamma 90.00
_space_group_name_H-M_alt 'C m m m'
_space_group_IT_number 65
_space_group_name_Hall '-C 2 2'
loop_
_atom_site_label
_atom_site_fract_x
_atom_site_fract_y
_atom_site_fract_z
Li1 0.000 0.000 0.000
Tl1 0.000 0.345 0.000
Pd1 0.000 0.165 0.500
Pd2 0.000 0.500 0.500
# Offset from the most stable computed form: 0 meV per atom
# E: -3.991 eV/atom
# Formation enthalpy at 0 K: -28 kJ/mol of atoms